DyAl8Cr4 | meta-GGA SCAN | PBEsol geometry

Summary:
Final energy (eV per atom): -14.3549
ΔE_f (kJ/mol of atoms): -24.2

a b c (Å): 6.7220 6.7220 6.7220
angles (deg): 97.96 97.96 136.31
Fractional coordinates of all 13 atoms:
Dy 0.0000 0.0000 0.0000
Al 0.0000 0.3358 0.3358
Al 0.0000 0.6642 0.6642
Al 0.2787 0.5000 0.7787
Al 0.3358 0.0000 0.3358
Al 0.5000 0.2787 0.7787
Al 0.5000 0.7213 0.2213
Al 0.6642 0.0000 0.6642
Al 0.7213 0.5000 0.2213
Cr 0.0000 0.0000 0.5000
Cr 0.0000 0.5000 0.0000
Cr 0.5000 0.0000 0.0000
Cr 0.5000 0.5000 0.5000

=====

AlSiTc | meta-GGA SCAN | PBEsol geometry

Summary:
Final energy (eV per atom): -17.6757
E above lowest polymorph (kJ/mol of atoms): 62.3
Formation energy from raw total energies (eV/atom): -0.0665

a b c (Å): 5.6795 5.6795 5.6795
angles (deg): 90.00 90.00 90.00
Fractional coordinates of all 12 atoms:
Al 0.0000 0.0000 0.0000
Al 0.0000 0.5000 0.5000
Al 0.5000 0.0000 0.5000
Al 0.5000 0.5000 0.0000
Si 0.2500 0.2500 0.7500
Si 0.2500 0.7500 0.2500
Si 0.7500 0.2500 0.2500
Si 0.7500 0.7500 0.7500
Tc 0.0000 0.0000 0.5000
Tc 0.0000 0.5000 0.0000
Tc 0.5000 0.0000 0.0000
Tc 0.5000 0.5000 0.5000